The following is a PBE-GGA calculation of an optimized crystal structure of Tb3PrSm4S8, from Alexandria.

Properties
For the formation energy (no corrections), the calculation gives -2.010 eV/atom.

Lattice parameters (Å, degrees): 7.986 7.987 7.986 120.00 120.00 90.00
Atoms (fractional coordinates):
Tb 0.500 0.500 0.000
Tb 0.500 0.500 0.500
Tb 0.000 0.500 0.500
Pr 0.000 0.500 0.000
Sm 0.500 0.000 0.000
Sm 0.500 0.000 0.500
Sm 0.000 0.000 0.000
Sm 0.000 0.000 0.500
S 0.253 0.747 0.994
S 0.253 0.747 0.506
S 0.253 0.258 0.506
S 0.741 0.747 0.994
S 0.259 0.253 0.006
S 0.747 0.742 0.494
S 0.747 0.253 0.494
S 0.747 0.253 0.006